Here is a geometry-optimized CrGaReRu structure from Alexandria. Energies are from PBE.

Cell lengths 4.267, 4.267, 4.267 Å; angles 60.00, 60.00, 60.00 degrees
Element x y z (fractional)
Cr 0.000 0.000 0.000
Ga 0.500 0.500 0.500
Re 0.250 0.250 0.250
Ru 0.750 0.750 0.750

Formation energy, meV/atom: 18
Magnetic moment, Bohr magnetons per cell: 0.7
Symmetry: No. 216

---

Here is a geometry-optimized Cr3GaRh structure from Alexandria. Energies are from PBE.

Cell lengths 4.291, 4.291, 4.291 Å; angles 90.00, 90.00, 90.00 degrees
Element x y z (fractional)
Cr 0.000 0.000 0.500
Cr 0.000 0.500 0.000
Cr 0.500 0.000 0.000
Ga 0.000 0.000 0.000
Rh 0.500 0.500 0.500

Energy above the most stable polymorph in this dataset, kJ/mol of formula units: 192
Formation energy, meV/atom: 1574
Magnetic moment, Bohr magnetons per cell: 0.0
Symmetry: No. 221

---

Here is a geometry-optimized Cr5GaRh6 structure from Alexandria. Energies are from PBE.

Cell lengths 7.115, 7.115, 7.115 Å; angles 148.43, 119.11, 70.21 degrees
Element x y z (fractional)
Cr 0.000 0.000 0.000
Cr 0.157 0.657 0.500
Cr 0.317 0.317 0.000
Cr 0.683 0.683 0.000
Cr 0.843 0.343 0.500
Ga 0.500 0.000 0.500
Rh 0.088 0.832 0.256
Rh 0.263 0.500 0.763
Rh 0.424 0.168 0.256
Rh 0.576 0.832 0.744
Rh 0.737 0.500 0.237
Rh 0.912 0.168 0.744

Formation energy, meV/atom: -166
Magnetic moment, Bohr magnetons per cell: 1.7
Symmetry: No. 71